Record 1
{"formula": "Ni2HgSe", "functional": "PBE", "state": "relaxed", "dft_energy_ev_per_atom": -3.751, "crystal_system": "monoclinic", "spacegroup": "Pm, No. 6", "lattice": [[3.6532, 0.0000, 0.0000], [0.0000, 3.1618, 0.2294], [0.0000, 1.1510, 6.0366]], "species": ["Ni", "Ni", "Se", "Hg"], "frac_coords": [[0.5000, 0.0215, 0.3353], [0.0000, 0.1712, 0.0307], [0.0000, 0.5239, 0.3284], [0.5000, 0.7834, 0.8057]]}

Record 2
{"formula": "Sc3ZnC", "functional": "PBE", "state": "relaxed", "formation_enthalpy_0k_ev_per_fu": -1.92, "crystal_system": "monoclinic", "e_above_lowest_polymorph_ev_per_atom": 0.054, "spacegroup": "C2/m, No. 12", "lattice": [[-7.5276, -12.6048, -2.8611], [-1.6292, -3.5429, -4.2629], [5.1778, 2.0387, 1.5532]], "species": ["C", "C", "Sc", "Sc", "Sc", "Sc", "Sc", "Sc", "Zn", "Zn"], "frac_coords": [[0.9263, 0.9414, 0.0586], [0.0737, 0.0586, 0.9414], [0.3524, 0.8064, 0.1936], [0.0753, 0.5652, 0.4348], [0.6476, 0.1936, 0.8064], [0.9247, 0.4348, 0.5652], [0.2024, 0.7050, 0.2950], [0.7976, 0.2950, 0.7050], [0.5686, 0.0245, 0.9755], [0.4314, 0.9755, 0.0245]]}

Record 3
{"formula": "FeSiAgSb2", "functional": "PBE", "state": "relaxed", "crystal_system": "tetragonal", "e_above_lowest_polymorph_ev_per_atom": 0.831, "spacegroup": "P4/mmm, No. 123", "lattice": [[-0.4535, -0.1183, -5.2570], [4.6833, -1.2246, -0.3764], [-1.3168, -5.1058, 0.2284]], "species": ["Sb", "Sb", "Ag", "Fe", "Si"], "frac_coords": [[0.0000, 0.0000, 0.5000], [0.5000, 0.0000, 0.0000], [0.0000, 0.0000, 0.0000], [0.0000, 0.5000, 0.0000], [0.5000, 0.5000, 0.5000]]}

no.,total magnetization (Bohr magnetons per cell)
1,0.000
2,0.000
3,3.353